No. 1
First-principles (GGA-PBE) data for crystalline Mn4As5 at its relaxed geometry, as listed in Alexandria via LeMat-Bulk.

The space group is P6_3/mcm (No. 193) and the conventional cell measures 7.9242, 7.9242 and 5.4506 Å, with angles of 90.00, 90.00 and 120.00 degrees. Symmetry generates all atoms from Mn at (0.0000, 0.0000, 0.0000), Mn at (0.0000, 0.3819, 0.2500), As at (0.0000, 0.2736, 0.7500) and As at (0.3333, 0.6667, 0.0000).

For the formation energy, the calculation gives 0.063 eV/atom.

---

No. 2
First-principles (GGA-PBE) data for crystalline MnAs2 at its relaxed geometry, as listed in Alexandria via LeMat-Bulk.

The space group is Imma (No. 74) and the conventional cell measures 2.734, 3.428 and 23.706 Å, with angles of 90.00, 90.00 and 90.00 degrees. Symmetry generates all atoms from Mn at (0.000, 0.250, 0.123), As at (0.000, 0.250, 0.561) and As at (0.000, 0.250, 0.684).

For the formation energy, the calculation gives 0.012 eV/atom.

---

No. 3
First-principles (GGA-PBE) data for crystalline MnAs3 at its relaxed geometry, as listed in Alexandria via LeMat-Bulk.

The space group is Pm-3m (No. 221) and the conventional cell measures 4.653, 4.653 and 4.653 Å, with angles of 90.00, 90.00 and 90.00 degrees. Symmetry generates all atoms from Mn at (0.000, 0.000, 0.000) and As at (0.000, 0.000, 0.500).

For the formation energy, the calculation gives 0.473 eV/atom.

---

No. 4
First-principles (GGA-PBE) data for crystalline Mn2As at its relaxed geometry, as listed in Alexandria via LeMat-Bulk.

The space group is Cmcm (No. 63) and the conventional cell measures 3.648, 12.430 and 3.646 Å, with angles of 90.00, 90.00 and 90.00 degrees. Symmetry generates all atoms from Mn at (0.000, 0.079, 0.250), Mn at (0.000, 0.252, 0.750) and As at (0.000, 0.387, 0.250).

For the formation energy, the calculation gives -0.049 eV/atom.

---

No. 5
First-principles (GGA-PBE) data for crystalline MnAs3 at its relaxed geometry, as listed in Alexandria via LeMat-Bulk.

The space group is C2/m (No. 12) and the conventional cell measures 7.074, 2.852 and 7.243 Å, with angles of 90.00, 94.58 and 90.00 degrees. Symmetry generates all atoms from Mn at (0.000, 0.000, 0.000), As at (0.000, 0.500, 0.500) and As at (0.221, 0.500, 0.216).

For the formation energy, the calculation gives 0.181 eV/atom.

---

No. 6
First-principles (GGA-PBE) data for crystalline MnAs2 at its relaxed geometry, as listed in Alexandria via LeMat-Bulk.

The space group is P-3m1 (No. 164) and the conventional cell measures 3.2279, 3.2279 and 5.5396 Å, with angles of 90.00, 90.00 and 120.00 degrees. Symmetry generates all atoms from Mn at (0.0000, 0.0000, 0.0000) and As at (0.3333, 0.6667, 0.2889).

For the formation energy, the calculation gives -0.016 eV/atom.